The following is a GGA-PBE calculation of Cd3GeTe after structural relaxation, from Alexandria via LeMat-Bulk.

Calculated values
As for the calculated density: 5.007 g/cm3. The calculation puts the energy relative to the elements, uncorrected at 0.700 eV/atom. The polymorph energy (0 for the lowest one) comes out at 547 meV/atom.

a = 5.628 Å, b = 5.628 Å, c = 5.628 Å
α = 90.00°, β = 90.00°, γ = 90.00°
Space group Pm-3m (No. 221)
Unique sites:
Cd (0.000, 0.000, 0.500) (multiplicity 3)
Ge (0.500, 0.500, 0.500) (multiplicity 1)
Te (0.000, 0.000, 0.000) (multiplicity 1)

The following is a GGA-PBE calculation of CdGe2Te2 after structural relaxation, from Alexandria via LeMat-Bulk.

Calculated values
As for the calculated density: 6.396 g/cm3. The calculation puts the energy relative to the elements, uncorrected at 0.188 eV/atom. The polymorph energy (0 for the lowest one) comes out at 101 meV/atom.

a = 8.253 Å, b = 8.253 Å, c = 3.909 Å
α = 90.00°, β = 90.00°, γ = 90.00°
Space group P4/mbm (No. 127)
Unique sites:
Cd (0.000, 0.000, 0.000) (multiplicity 2)
Ge (0.155, 0.345, 0.500) (multiplicity 4)
Te (0.161, 0.661, 0.000) (multiplicity 4)

The following is a GGA-PBE calculation of Cd2Ge2Te after structural relaxation, from Alexandria via LeMat-Bulk.

Calculated values
As for the calculated density: 6.981 g/cm3. The calculation puts the energy relative to the elements, uncorrected at 0.163 eV/atom. The polymorph energy (0 for the lowest one) comes out at 37 meV/atom.

a = 8.779 Å, b = 8.779 Å, c = 3.072 Å
α = 90.00°, β = 90.00°, γ = 90.00°
Space group P4/mbm (No. 127)
Unique sites:
Cd (0.125, 0.375, 0.000) (multiplicity 4)
Ge (0.177, 0.677, 0.500) (multiplicity 4)
Te (0.000, 0.000, 0.500) (multiplicity 2)